# 1
## SrZnMo4 (PBE)

Data for crystalline SrZnMo4 at its relaxed geometry.

* ρ: 7.78 Mg/m³
* N(E_F): 6.16 states/eV/cell
* calculated formation energy: 4.1 eV/f.u.
* raw total energy: -7.030 eV per atom

a b c (Å): 5.453 5.453 5.453
angles (deg): 60.00 60.00 60.00
Positions (direct):
Sr1 0.000 0.000 0.000
Zn1 0.750 0.750 0.750
Mo1 0.375 0.375 0.375
Mo2 0.375 0.375 0.875
Mo3 0.375 0.875 0.375
Mo4 0.875 0.375 0.375


# 2
## P2RhBr (PBE)

Data for crystalline P2RhBr at its relaxed geometry.

* formation energy (no corrections): 0.104 eV per atom
* ρ: 4.23 Mg/m³
* N(E_F): 2.19 states/eV/cell
* excess energy over the best structure of this formula in the dataset: 306.9 meV per atom
* raw total energy: -4.857 eV per atom

a b c (Å): 6.738 6.738 6.738
angles (deg): 126.29 126.29 79.42
Positions (direct):
P1 0.032 0.625 0.907
P2 0.375 0.282 0.407
P3 0.718 0.125 0.093
P4 0.875 0.968 0.593
Rh1 0.000 0.000 0.000
Rh2 0.750 0.250 0.500
Br1 0.250 0.750 0.500
Br2 0.500 0.500 0.000


# 3
## Sr2SnHgRh (PBE)

Data for crystalline Sr2SnHgRh at its relaxed geometry.

* ρ: 5.81 Mg/m³
* N(E_F): 3.04 states/eV/cell
* calculated formation energy: -2.2 eV/f.u.
* raw total energy: -3.437 eV per atom

a b c (Å): 5.813 5.813 5.053
angles (deg): 90.00 90.00 90.00
Positions (direct):
Sr1 0.000 0.500 0.000
Sr2 0.500 0.000 0.000
Sn1 0.000 0.000 0.500
Hg1 0.500 0.500 0.500
Rh1 0.000 0.000 0.000


# 4
## TbSi2Bi2Pt7 (PBE)

Data for crystalline TbSi2Bi2Pt7 at its relaxed geometry.

* formation energy (no corrections): -0.654 eV per atom
* ρ: 13.62 Mg/m³
* N(E_F): 5.43 states/eV/cell
* raw total energy: -6.114 eV per atom

a b c (Å): 15.361 15.361 15.361
angles (deg): 164.97 164.97 21.31
Positions (direct):
Tb1 0.000 0.000 0.000
Si1 0.383 0.383 0.000
Si2 0.617 0.617 0.000
Bi1 0.210 0.210 0.000
Bi2 0.790 0.790 0.000
Pt1 0.073 0.573 0.500
Pt2 0.305 0.305 0.000
Pt3 0.427 0.927 0.500
Pt4 0.500 0.500 0.000
Pt5 0.573 0.073 0.500
Pt6 0.695 0.695 0.000
Pt7 0.927 0.427 0.500


# 5
## Cd3In3Hg4 (PBE)

Data for crystalline Cd3In3Hg4 at its relaxed geometry.

* ρ: 9.27 Mg/m³
* N(E_F): 4.85 states/eV/cell
* calculated formation energy: 0.4 eV/f.u.
* excess energy over the best structure of this formula in the dataset: 0.0 meV per atom
* raw total energy: -1.172 eV per atom

a b c (Å): 8.840 8.840 8.840
angles (deg): 109.47 109.47 109.47
Positions (direct):
Cd1 0.125 0.750 0.875
Cd2 0.250 0.625 0.375
Cd3 0.375 0.250 0.625
Cd4 0.625 0.375 0.250
Cd5 0.750 0.875 0.125
Cd6 0.875 0.125 0.750
In1 0.125 0.875 0.250
In2 0.250 0.125 0.875
In3 0.375 0.625 0.750
In4 0.625 0.750 0.375
In5 0.750 0.375 0.625
In6 0.875 0.250 0.125
Hg1 0.000 0.231 0.500
Hg2 0.000 0.731 0.500
Hg3 0.231 0.500 0.000
Hg4 0.269 0.269 0.269
Hg5 0.500 0.000 0.231
Hg6 0.500 0.000 0.731
Hg7 0.731 0.500 0.000
Hg8 0.769 0.769 0.769


# 6
## InMo2Br (PBE)

Data for crystalline InMo2Br at its relaxed geometry.

* formation energy (no corrections): 0.265 eV per atom
* ρ: 7.64 Mg/m³
* N(E_F): 2.41 states/eV/cell
* excess energy over the best structure of this formula in the dataset: 0.0 meV per atom
* raw total energy: -6.253 eV per atom

a b c (Å): 3.203 3.203 8.197
angles (deg): 90.00 90.00 90.00
Positions (direct):
In1 0.000 0.000 0.000
Mo1 0.000 0.000 0.394
Mo2 0.500 0.500 0.223
Br1 0.500 0.500 0.625


# 7
## SrZrAu2 (PBE)

Data for crystalline SrZrAu2 at its relaxed geometry.

* ρ: 9.08 Mg/m³
* N(E_F): 4.01 states/eV/cell
* calculated formation energy: -1.2 eV/f.u.
* excess energy over the best structure of this formula in the dataset: 247.7 meV per atom
* raw total energy: -4.492 eV per atom

a b c (Å): 3.864 4.524 5.989
angles (deg): 90.00 90.00 90.00
Positions (direct):
Sr1 0.000 0.000 0.000
Zr1 0.500 0.500 0.498
Au1 0.000 0.000 0.500
Au2 0.500 0.500 0.998


# 8
## ThZnSi2Pd (PBE)

Data for crystalline ThZnSi2Pd at its relaxed geometry.

* formation energy (no corrections): -0.713 eV per atom
* ρ: 8.54 Mg/m³
* N(E_F): 1.50 states/eV/cell
* raw total energy: -5.660 eV per atom

a b c (Å): 5.949 5.949 5.949
angles (deg): 139.07 139.07 59.26
Positions (direct):
Th1 0.000 0.000 0.000
Zn1 0.750 0.250 0.500
Si1 0.386 0.386 0.000
Si2 0.614 0.614 0.000
Pd1 0.250 0.750 0.500